Below is a geometry-optimized ZrHgRh structure, with properties calculated at the GGA-PBE level.

Cell: 4.579 4.579 4.579 Å, 60.00 60.00 60.00°
Sites, in units of the cell vectors:
1 Zr 0.000 0.000 0.000
2 Hg 0.750 0.750 0.750
3 Rh 0.250 0.250 0.250

Values from the calculation:
Electronic total energy in eV/atom: -5.296
Total moment in μB per atom: 0.000
ΔE to the lowest computed polymorph in eV/f.u.: 1.71
Energy of formation in eV per atom: 0.10
Space group: F-43m

***

Below is a geometry-optimized Ac6RhSe2S3 structure, with properties calculated at the GGA-PBE level.

Cell: 9.816 9.816 8.894 Å, 102.44 102.44 25.44°
Sites, in units of the cell vectors:
1 Ac 0.002 0.002 0.263
2 Ac 0.336 0.336 0.426
3 Ac 0.337 0.337 0.910
4 Ac 0.663 0.663 0.090
5 Ac 0.664 0.664 0.574
6 Ac 0.998 0.998 0.737
7 Rh 0.500 0.500 0.500
8 Se 0.168 0.168 0.837
9 Se 0.832 0.832 0.163
10 S 0.169 0.169 0.332
11 S 0.500 0.500 0.000
12 S 0.831 0.831 0.668

Values from the calculation:
Electronic total energy in eV/atom: -6.001
Total moment in μB per atom: 0.000
Formation energy from raw total energies in eV/f.u.: -20.7
Space group: C2/m

***

Below is a geometry-optimized Na2La2Pt structure, with properties calculated at the GGA-PBE level.

Cell: 7.170 7.170 5.347 Å, 90.00 90.00 90.00°
Sites, in units of the cell vectors:
1 Na 0.137 0.363 0.000
2 Na 0.363 0.863 0.000
3 Na 0.637 0.137 0.000
4 Na 0.863 0.637 0.000
5 La 0.186 0.686 0.500
6 La 0.314 0.186 0.500
7 La 0.686 0.814 0.500
8 La 0.814 0.314 0.500
9 Pt 0.000 0.000 0.000
10 Pt 0.500 0.500 0.000

Values from the calculation:
Electronic total energy in eV/atom: -3.610
Total moment in μB per atom: 0.000
ΔE to the lowest computed polymorph in eV/f.u.: 0.00
Energy of formation in eV per atom: 0.10
Space group: P4/mbm

***

Below is a geometry-optimized GeAu2Cl structure, with properties calculated at the GGA-PBE level.

Cell: 6.492 6.492 6.492 Å, 118.06 118.06 93.40°
Sites, in units of the cell vectors:
1 Ge 0.000 0.000 0.000
2 Ge 0.750 0.250 0.500
3 Au 0.093 0.125 0.468
4 Au 0.375 0.907 0.032
5 Au 0.657 0.625 0.532
6 Au 0.875 0.343 0.968
7 Cl 0.250 0.750 0.500
8 Cl 0.500 0.500 0.000

Values from the calculation:
Electronic total energy in eV/atom: -3.221
Total moment in μB per atom: 0.000
Formation energy from raw total energies in eV/f.u.: 0.1
ΔE to the lowest computed polymorph in eV/f.u.: 0.00
Space group: I-42d

***

Below is a geometry-optimized Re2HgSb structure, with properties calculated at the GGA-PBE level.

Cell: 10.258 10.258 10.258 Å, 156.93 156.93 32.85°
Sites, in units of the cell vectors:
1 Re 0.044 0.625 0.919
2 Re 0.375 0.294 0.419
3 Re 0.706 0.125 0.081
4 Re 0.875 0.956 0.581
5 Hg 0.000 0.000 0.000
6 Hg 0.750 0.250 0.500
7 Sb 0.250 0.750 0.500
8 Sb 0.500 0.500 0.000

Values from the calculation:
Electronic total energy in eV/atom: -6.336
Total moment in μB per atom: 0.000
Formation energy from raw total energies in eV/f.u.: 4.0
ΔE to the lowest computed polymorph in eV/f.u.: 2.59
Space group: I-42d

***

Below is a geometry-optimized La4PPdBr2 structure, with properties calculated at the GGA-PBE level.

Cell: 7.656 4.170 7.686 Å, 90.00 107.82 90.00°
Sites, in units of the cell vectors:
1 La 0.227 0.000 0.220
2 La 0.262 0.500 0.785
3 La 0.738 0.500 0.215
4 La 0.773 0.000 0.780
5 P 0.000 0.500 0.000
6 Pd 0.500 0.000 0.000
7 Br 0.000 0.000 0.500
8 Br 0.500 0.500 0.500

Values from the calculation:
Electronic total energy in eV/atom: -5.510
Total moment in μB per atom: 0.000
Formation energy from raw total energies in eV/f.u.: -10.4
Space group: P2/m

***

Below is a geometry-optimized PmGaI4 structure, with properties calculated at the GGA-PBE level.

Cell: 8.756 8.756 8.204 Å, 115.73 115.73 30.27°
Sites, in units of the cell vectors:
1 Pm 0.000 0.000 0.000
2 Ga 0.500 0.500 0.500
3 I 0.115 0.115 0.800
4 I 0.382 0.382 0.736
5 I 0.618 0.618 0.264
6 I 0.885 0.885 0.200

Values from the calculation:
Electronic total energy in eV/atom: -3.382
Total moment in μB per atom: 0.000
Formation energy from raw total energies in eV/f.u.: -6.3
Space group: C2/m

***

Below is a geometry-optimized LaTcPd2 structure, with properties calculated at the GGA-PBE level.

Cell: 9.974 9.974 9.974 Å, 155.98 155.98 34.23°
Sites, in units of the cell vectors:
1 La 0.000 0.000 0.000
2 La 0.750 0.250 0.500
3 Tc 0.250 0.750 0.500
4 Tc 0.500 0.500 0.000
5 Pd 0.158 0.625 0.033
6 Pd 0.375 0.408 0.533
7 Pd 0.592 0.125 0.967
8 Pd 0.875 0.842 0.467

Values from the calculation:
Electronic total energy in eV/atom: -6.190
Total moment in μB per atom: 0.318
ΔE to the lowest computed polymorph in eV/f.u.: 0.89
Energy of formation in eV per atom: 0.23
Space group: I-42d

***

Below is a geometry-optimized YTc2Rh structure, with properties calculated at the GGA-PBE level.

Cell: 4.587 4.587 4.587 Å, 60.00 60.00 60.00°
Sites, in units of the cell vectors:
1 Y 0.000 0.000 0.000
2 Tc 0.250 0.250 0.250
3 Tc 0.500 0.500 0.500
4 Rh 0.750 0.750 0.750

Values from the calculation:
Electronic total energy in eV/atom: -8.566
Total moment in μB per atom: 0.371
ΔE to the lowest computed polymorph in eV/f.u.: 0.44
Energy of formation in eV per atom: 0.07
Space group: F-43m

***

Below is a geometry-optimized AcNd4Co structure, with properties calculated at the GGA-PBE level.

Cell: 9.722 9.722 7.720 Å, 90.00 90.00 145.46°
Sites, in units of the cell vectors:
1 Ac 0.109 0.891 0.750
2 Ac 0.891 0.109 0.250
3 Nd 0.117 0.883 0.250
4 Nd 0.300 0.700 0.505
5 Nd 0.300 0.700 0.995
6 Nd 0.500 0.500 0.000
7 Nd 0.500 0.500 0.500
8 Nd 0.700 0.300 0.005
9 Nd 0.700 0.300 0.495
10 Nd 0.883 0.117 0.750
11 Co 0.402 0.598 0.750
12 Co 0.598 0.402 0.250

Values from the calculation:
Electronic total energy in eV/atom: -5.009
Total moment in μB per atom: 0.000
ΔE to the lowest computed polymorph in eV/f.u.: 0.10
Energy of formation in eV per atom: 0.04
Space group: Cmcm

***

Below is a geometry-optimized CoCuPd4 structure, with properties calculated at the GGA-PBE level.

Cell: 4.093 4.093 7.160 Å, 106.53 106.53 60.02°
Sites, in units of the cell vectors:
1 Co 0.000 0.000 0.000
2 Cu 0.500 0.500 0.500
3 Pd 0.123 0.123 0.368
4 Pd 0.374 0.374 0.123
5 Pd 0.626 0.626 0.877
6 Pd 0.877 0.877 0.632

Values from the calculation:
Electronic total energy in eV/atom: -5.053
Total moment in μB per atom: 0.582
ΔE to the lowest computed polymorph in eV/f.u.: 1.92
Energy of formation in eV per atom: 0.28
Space group: C2/m

***

Below is a geometry-optimized MnCu6Pd8 structure, with properties calculated at the GGA-PBE level.

Cell: 7.226 7.226 5.112 Å, 90.00 90.00 120.00°
Sites, in units of the cell vectors:
1 Mn 0.000 0.000 0.000
2 Cu 0.001 0.667 0.152
3 Cu 0.333 0.334 0.152
4 Cu 0.334 0.001 0.848
5 Cu 0.666 0.999 0.152
6 Cu 0.667 0.666 0.848
7 Cu 0.999 0.333 0.848
8 Pd 0.000 0.327 0.349
9 Pd 0.000 0.673 0.651
10 Pd 0.327 0.000 0.349
11 Pd 0.327 0.327 0.651
12 Pd 0.333 0.667 0.998
13 Pd 0.667 0.333 0.002
14 Pd 0.673 0.000 0.651
15 Pd 0.673 0.673 0.349

Values from the calculation:
Electronic total energy in eV/atom: -4.937
Total moment in μB per atom: 0.350
ΔE to the lowest computed polymorph in eV/f.u.: 0.22
Energy of formation in eV per atom: 0.08
Space group: P-3